1.
Entry from Alexandria: a relaxed structure of LiHoHfPt (PBE).

The value obtained for the formation energy is -1.99 eV per formula unit. The volume comes out at 19.61 Å³ per atom. For the density of states at the Fermi level, the calculation gives 12.2 states/eV/cell.

It has space group F-43m (No. 216), with a = 6.796 Å, b = 6.796 Å, c = 6.796 Å, α = 90.00°, β = 90.00° and γ = 90.00°. Symmetry generates all atoms from Li at (0.000, 0.000, 0.000), Ho at (0.250, 0.250, 0.750), Hf at (0.250, 0.250, 0.250) and Pt at (0.000, 0.000, 0.500).

2.
Entry from Alexandria: a relaxed structure of Pm2Nd6Y3Tm (PBE).

The value obtained for the formation energy is 0.13 eV per formula unit. The volume comes out at 33.80 Å³ per atom. For the density of states at the Fermi level, the calculation gives 30.1 states/eV/cell.

It has space group C2/m (No. 12), with a = 6.305 Å, b = 10.922 Å, c = 11.964 Å, α = 90.00°, β = 100.10° and γ = 90.00°. Symmetry generates all atoms from Pm at (0.000, 0.167, 0.000), Nd at (0.249, 0.500, 0.749), Nd at (0.250, 0.166, 0.749), Y at (0.000, 0.000, 0.500), Y at (0.000, 0.334, 0.500) and Tm at (0.000, 0.500, 0.000).

3.
Entry from Alexandria: a relaxed structure of CeAlGa2Pt (PBE).

The value obtained for the formation energy is -4.06 eV per formula unit. The volume comes out at 19.58 Å³ per atom. For the density of states at the Fermi level, the calculation gives 11.1 states/eV/cell.

It has space group Imm2 (No. 44), with a = 4.225 Å, b = 4.311 Å, c = 10.750 Å, α = 90.00°, β = 90.00° and γ = 90.00°. Symmetry generates all atoms from Ce at (0.000, 0.000, 0.000), Al at (0.000, 0.500, 0.738), Ga at (0.000, 0.000, 0.586), Ga at (0.000, 0.500, 0.236) and Pt at (0.000, 0.000, 0.357).

4.
Entry from Alexandria: a relaxed structure of Tb2AlRh (PBE).

The value obtained for the formation energy is -2.49 eV per formula unit. The volume comes out at 22.06 Å³ per atom. For the density of states at the Fermi level, the calculation gives 2.1 states/eV/cell. The value obtained for the excess energy over the best structure of this formula in the dataset is 0 meV per atom.

It has space group P4/mmm (No. 123), with a = 3.567 Å, b = 3.567 Å, c = 6.933 Å, α = 90.00°, β = 90.00° and γ = 90.00°. Symmetry generates all atoms from Tb at (0.000, 0.000, 0.233), Al at (0.500, 0.500, 0.500) and Rh at (0.500, 0.500, 0.000).

5.
Entry from Alexandria: a relaxed structure of HfCo3Pd (PBE).

The value obtained for the formation energy is 5.52 eV per formula unit. The volume comes out at 18.00 Å³ per atom. For the density of states at the Fermi level, the calculation gives 10.6 states/eV/cell. The value obtained for the excess energy over the best structure of this formula in the dataset is 0 meV per atom.

It has space group Pm-3m (No. 221), with a = 4.481 Å, b = 4.481 Å, c = 4.481 Å, α = 90.00°, β = 90.00° and γ = 90.00°. Symmetry generates all atoms from Hf at (0.000, 0.000, 0.000), Co at (0.000, 0.500, 0.500) and Pd at (0.500, 0.500, 0.500).

6.
Entry from Alexandria: a relaxed structure of Ca2MgPb (PBE).

The value obtained for the formation energy is 0.27 eV per formula unit. The volume comes out at 34.12 Å³ per atom. For the density of states at the Fermi level, the calculation gives 16.7 states/eV/cell.

It has space group I-42d (No. 122), with a = 4.912 Å, b = 4.912 Å, c = 22.621 Å, α = 90.00°, β = 90.00° and γ = 90.00°. Symmetry generates all atoms from Ca at (0.242, 0.250, 0.125), Mg at (0.000, 0.000, 0.500) and Pb at (0.000, 0.000, 0.000).

7.
Entry from Alexandria: a relaxed structure of NdMg12Rh6 (PBE).

The value obtained for the formation energy is -4.93 eV per formula unit. The volume comes out at 19.77 Å³ per atom. For the density of states at the Fermi level, the calculation gives 31.4 states/eV/cell.

It has space group R-3m (No. 166, hexagonal axes), with a = 11.8029 Å, b = 11.8029 Å, c = 9.3429 Å, α = 90.00°, β = 90.00° and γ = 120.00°. Symmetry generates all atoms from Nd at (0.0000, 0.0000, 0.0000), Mg at (0.0000, 0.3803, 0.5000), Mg at (0.0891, 0.1782, 0.3486) and Rh at (0.0340, 0.5170, 0.2665).

8.
Entry from Alexandria: a relaxed structure of ErMg9Cd2 (PBE).

The value obtained for the formation energy is -0.37 eV per formula unit. The volume comes out at 23.36 Å³ per atom. For the density of states at the Fermi level, the calculation gives 23.2 states/eV/cell.

It has space group I4_1/amd (No. 141, origin choice 2), with a = 12.082 Å, b = 12.082 Å, c = 7.680 Å, α = 90.00°, β = 90.00° and γ = 90.00°. Symmetry generates all atoms from Er at (0.000, 0.250, 0.375), Mg at (0.000, 0.250, 0.875), Mg at (0.121, 0.050, 0.676) and Cd at (0.000, 0.000, 0.000).